[1]
Density functional theory data (GGA-PBE) for a relaxed Rb3PdI4 crystal.

Formation energy from raw total energies ... -1.037 eV/atom
V ... 870.1 Å³ per cell
E ... -45.18 eV for the cell shown

Structure (POSCAR):
```
Rb3PdI4
1.0
5.480 0.000 0.000
0.000 10.835 0.000
0.000 0.000 14.654
Pd I Rb
2 8 6
Direct
0.071 0.374 0.000
0.571 0.626 0.500
0.573 0.695 0.322
0.073 0.305 0.178
0.072 0.562 0.500
0.573 0.695 0.678
0.572 0.438 0.000
0.073 0.305 0.822
0.540 0.111 0.500
0.040 0.889 0.000
0.040 0.893 0.500
0.573 0.357 0.340
0.073 0.643 0.840
0.573 0.357 0.660
0.073 0.643 0.160
0.540 0.107 0.000
```



[2]
Density functional theory data (GGA-PBE) for a relaxed TcTe4P crystal.

Formation energy from raw total energies ... 1.306 eV/atom
V ... 168.5 Å³ per cell
E ... -20.50 eV for the cell shown

Structure (POSCAR):
```
TcTe4P
1.0
0.000 4.384 4.384
4.384 0.000 4.384
4.384 4.384 0.000
Te Tc P
4 1 1
Direct
0.375 0.874 0.375
0.375 0.375 0.375
0.874 0.375 0.375
0.375 0.375 0.874
0.000 0.000 0.000
0.750 0.750 0.750
```



[3]
Density functional theory data (GGA-PBE) for a relaxed Rb2Hg2H4Pt crystal.

V ... 196.5 Å³ per cell
E ... -24.47 eV for the cell shown

Structure (POSCAR):
```
Rb2Hg2H4Pt
1.0
-3.739 -4.228 3.049
0.405 -0.694 -6.364
6.278 -0.393 1.256
H Hg Pt Rb
4 2 1 2
Direct
0.000 0.826 0.174
0.348 0.174 0.174
0.000 0.174 0.826
0.652 0.826 0.826
0.000 0.328 0.328
0.000 0.672 0.672
0.000 0.000 0.000
0.500 0.250 0.750
0.500 0.750 0.250
```



[4]
Density functional theory data (GGA-PBE) for a relaxed BaLa4Ir2 crystal.

V ... 270.4 Å³ per cell
Energy relative to the elements ... -0.43 eV per atom
E ... -42.35 eV for the cell shown

Structure (POSCAR):
```
BaLa4Ir2
1.0
4.189 0.000 -0.839
-0.279 6.051 -1.393
-0.069 0.602 10.538
La Ir Ba
4 2 1
Direct
0.357 0.941 0.714
0.643 0.059 0.286
0.812 0.395 0.624
0.188 0.605 0.376
0.233 0.165 0.466
0.767 0.835 0.534
0.500 0.500 0.000
```



[5]
Density functional theory data (GGA-PBE) for a relaxed SrIrC3 crystal.

V ... 80.7 Å³ per cell
Energy relative to the elements ... 4.09 eV per atom
E ... -17.77 eV for the cell shown

Structure (POSCAR):
```
SrIrC3
1.0
-1.854 -2.433 -3.053
3.903 -1.190 -1.423
-0.040 -3.368 2.708
Sr Ir C
1 1 3
Direct
0.000 0.000 0.000
0.500 0.500 0.500
0.000 0.500 0.000
0.500 0.000 0.000
0.000 0.000 0.500
```



[6]
Density functional theory data (GGA-PBE) for a relaxed RbTlIn2Cu crystal.

V ... 155.0 Å³ per cell
Energy relative to the elements ... 0.09 eV per atom
E ... -12.48 eV for the cell shown

Structure (POSCAR):
```
RbTlIn2Cu
1.0
-2.757 4.529 0.211
-1.693 -0.799 -4.965
-4.364 -2.746 1.930
In Rb Cu Tl
2 1 1 1
Direct
0.000 0.500 0.000
0.500 0.000 0.000
0.500 0.500 0.500
0.000 0.000 0.000
0.000 0.000 0.500
```



[7]
Density functional theory data (GGA-PBE) for a relaxed IrOs3W crystal.

V ... 101.8 Å³ per cell
Energy relative to the elements ... 1.51 eV per atom
E ... -47.96 eV for the cell shown

Structure (POSCAR):
```
IrOs3W
1.0
-4.189 -1.707 2.667
0.387 -0.992 5.142
-2.362 3.131 3.463
Ir Os W
1 3 1
Direct
0.975 0.975 0.075
0.975 0.475 0.575
0.475 0.975 0.575
0.975 0.975 0.575
0.475 0.475 0.575
```



[8]
Density functional theory data (GGA-PBE) for a relaxed MgTl2Au crystal.

V ... 101.9 Å³ per cell
Energy relative to the elements ... -0.09 eV per atom
E ... -9.98 eV for the cell shown

Structure (POSCAR):
```
MgTl2Au
1.0
-3.330 2.936 2.129
-3.495 -0.467 3.437
3.005 1.844 5.178
Mg Tl Au
1 2 1
Direct
0.233 0.233 0.311
0.764 0.764 0.716
0.995 0.995 0.026
0.508 0.508 0.447
```



[9]
Density functional theory data (GGA-PBE) for a relaxed KFe2Cu crystal.

V ... 80.3 Å³ per cell
Energy relative to the elements ... 0.74 eV per atom
E ... -19.16 eV for the cell shown

Structure (POSCAR):
```
KFe2Cu
1.0
4.343 0.000 0.000
0.000 2.710 0.022
0.000 0.846 6.831
Fe Cu K
2 1 1
Direct
0.000 0.507 0.613
0.000 0.993 0.887
0.500 0.750 0.750
0.500 0.250 0.250
```



[10]
Density functional theory data (GGA-PBE) for a relaxed Sr2Ga2As2O crystal.

Formation energy from raw total energies ... -1.008 eV/atom
V ... 159.2 Å³ per cell
E ... -30.73 eV for the cell shown

Structure (POSCAR):
```
Sr2Ga2As2O
1.0
-1.942 -3.515 -0.769
-1.669 -2.748 6.127
-5.591 2.203 3.941
Ga O As Sr
2 1 2 2
Direct
0.811 0.376 0.713
0.189 0.624 0.287
0.000 0.000 0.000
0.828 0.338 0.365
0.172 0.662 0.635
0.436 0.121 0.177
0.564 0.879 0.823
```



[11]
Density functional theory data (GGA-PBE) for a relaxed CrTcW2 crystal.

V ... 58.9 Å³ per cell
Energy relative to the elements ... 0.05 eV per atom
E ... -45.68 eV for the cell shown

Structure (POSCAR):
```
CrTcW2
1.0
-3.035 1.365 2.834
-2.366 -3.585 -0.807
1.462 -1.477 2.277
Cr W Tc
1 2 1
Direct
0.500 0.000 0.500
0.500 0.500 0.000
0.000 0.000 0.000
0.000 0.500 0.500
```



[12]
Density functional theory data (GGA-PBE) for a relaxed PaVP2 crystal.

V ... 64.9 Å³ per cell
Energy relative to the elements ... -0.56 eV per atom
E ... -31.66 eV for the cell shown

Structure (POSCAR):
```
PaVP2
1.0
-2.515 -0.869 -1.768
1.766 -2.264 -1.400
-1.737 -4.141 4.507
V P Pa
1 2 1
Direct
0.500 0.500 0.000
0.000 0.000 0.209
0.000 0.000 0.791
0.500 0.500 0.500
```